A relaxed structure of NaPtCl4. Source: the Alexandria database, functional PBE.

Cell lengths 12.4521, 3.8169, 6.8781 Å; angles 90.00, 105.84, 90.00 degrees
Closest atoms and distances in Å follow each position.
Element x y z (fractional)
Na 0.0000 0.0000 0.0000  6 Cl 2.79-2.86
Na 0.5000 0.5000 0.0000  6 Cl 2.79-2.86
Pt 0.0000 0.5000 0.5000  6 Cl 2.34-2.51
Pt 0.5000 0.0000 0.5000  6 Cl 2.34-2.51
Cl 0.1122 0.5000 0.8337  1 Pt 2.34
Cl 0.1128 0.0000 0.4221  2 Pt 2.51
Cl 0.3872 0.5000 0.5779  2 Pt 2.51
Cl 0.3878 0.0000 0.1663  1 Pt 2.34
Cl 0.6122 0.0000 0.8337  1 Pt 2.34
Cl 0.6128 0.5000 0.4221  2 Pt 2.51
Cl 0.8872 0.0000 0.5779  2 Pt 2.51
Cl 0.8878 0.5000 0.1663  1 Pt 2.34

- Total magnetization: 0.93 μB/f.u.
- Total DFT energy (no corrections): -0.120 Ha/atom
- Symmetry: No. 12